# MgHgSeN2, optimized geometry, DFT PBE
data_MgHgSeN2
_space_group_name_H-M_alt 'P 1'
_space_group_IT_number 1
_space_group_name_Hall 'P 1'
_cell_length_a 4.1811
_cell_length_b 4.1811
_cell_length_c 6.1152
_cell_angle_alpha 90.00
_cell_angle_beta 90.00
_cell_angle_gamma 90.00
loop_
_atom_site_label
_atom_site_fract_x
_atom_site_fract_y
_atom_site_fract_z
Mg1 0.0000 0.0000 0.0000
Hg1 0.5000 0.5000 0.5000
Se1 0.5000 0.5000 0.0000
N1 0.0000 0.5000 0.5000
N2 0.5000 0.0000 0.5000
# Raw formation energy: 1.4375 eV/atom
# Symmetry: P4/mmm, No. 123
# D(E_F): 1.8 states/eV/cell